{
  "formula": "Cs2NdAgF6",
  "functional": "SCAN",
  "state": "single point on PBEsol structure",
  "raw_formation_energy_mev_per_atom": -3103.3,
  "sg": "No. 225",
  "lattice_angstrom": [[6.596, 0.000, 0.000], [3.298, 5.713, 0.000], [3.298, 1.904, 5.386]],
  "species": ["F", "F", "F", "F", "F", "F", "Cs", "Cs", "Nd", "Ag"],
  "fractional_positions": [[0.742, 0.742, 0.258], [0.258, 0.742, 0.258], [0.258, 0.258, 0.742], [0.742, 0.258, 0.258], [0.258, 0.742, 0.742], [0.742, 0.258, 0.742], [0.750, 0.750, 0.750], [0.250, 0.250, 0.250], [0.500, 0.500, 0.500], [0.000, 0.000, 0.000]]
}